1.
8
Lattice="-3.4423 3.4423 2.6360 3.4423 -3.4423 2.6360 3.4423 3.4423 -2.6360" Properties=species:S:1:pos:R:3 comment="NiMoPd2 | the Alexandria database | GGA-PBE | optimized geometry" delta_e_f_mev_per_atom=540 dos_ef_per_ev_cell=13.39 final_energy_ev_per_atom=-6.209 polymorph_energy_kj_per_mol_atoms=51.7 pbc="T T T"
Ni 0.0000 0.0000 0.0000
Ni 0.0000 3.4423 1.3180
Mo 3.4423 0.0000 1.3180
Mo 0.0000 0.0000 2.6360
Pd 5.1635 1.6633 -0.6590
Pd 1.6633 1.7212 0.6590
Pd -1.7212 1.7790 1.9770
Pd 1.7790 1.7212 3.2950



2.
4
Lattice="3.0865 0.0000 0.0000 0.0000 3.8537 0.0000 0.0000 0.0000 7.9824" Properties=species:S:1:pos:R:3 comment="TaSbCl2 | the Alexandria database | GGA-PBE | optimized geometry" dos_ef_per_ev_cell=1.11 final_energy_ev_per_atom=-5.087 formation_energy_uncorrected_kj_per_mol_fu=-65 polymorph_energy_kj_per_mol_atoms=41.5 pbc="T T T"
Ta 0.0000 0.0000 0.0000
Sb 1.5433 1.9268 5.8816
Cl 0.0000 0.0000 2.4436
Cl 1.5433 1.9268 0.9268



3.
5
Lattice="5.2162 0.0000 0.0000 0.0000 5.2162 0.0000 0.0000 0.0000 5.2269" Properties=species:S:1:pos:R:3 comment="BaLiCd2In | the Alexandria database | GGA-PBE | optimized geometry" delta_e_f_mev_per_atom=-195 dos_ef_per_ev_cell=2.91 final_energy_ev_per_atom=-1.876 polymorph_energy_kj_per_mol_atoms=9.7 pbc="T T T"
Ba 0.0000 0.0000 0.0000
Li 2.6081 2.6081 2.6134
Cd 0.0000 2.6081 2.6134
Cd 2.6081 0.0000 2.6134
In 2.6081 2.6081 0.0000



Copy entry 1 word for word.
8
Lattice="-3.4423 3.4423 2.6360 3.4423 -3.4423 2.6360 3.4423 3.4423 -2.6360" Properties=species:S:1:pos:R:3 comment="NiMoPd2 | the Alexandria database | GGA-PBE | optimized geometry" delta_e_f_mev_per_atom=540 dos_ef_per_ev_cell=13.39 final_energy_ev_per_atom=-6.209 polymorph_energy_kj_per_mol_atoms=51.7 pbc="T T T"
Ni 0.0000 0.0000 0.0000
Ni 0.0000 3.4423 1.3180
Mo 3.4423 0.0000 1.3180
Mo 0.0000 0.0000 2.6360
Pd 5.1635 1.6633 -0.6590
Pd 1.6633 1.7212 0.6590
Pd -1.7212 1.7790 1.9770
Pd 1.7790 1.7212 3.2950